Record 1
VASP calculation (PBE) on a geometry-optimized NaHgAu3 structure.

abc: 5.297 5.297 5.297
angles: 90.00 90.00 90.00
Sites, in units of the cell vectors:
Na 0.500 0.500 0.500
Au 0.000 0.500 0.000
Au 0.000 0.000 0.500
Au 0.500 0.000 0.000
Hg 0.000 0.000 0.000

**Energy of formation**: 1.233 eV/f.u.
**Calculated volume**: 148.6 Å³/f.u.
**SG**: Pm-3m (221)
**DOS at the Fermi energy**: 1.03 states/eV/f.u.
**Magnetic moment**: 0.000 μB per formula unit


Record 2
VASP calculation (PBE) on a geometry-optimized U5P3 structure.

abc: 5.479 8.284 7.938
angles: 83.45 69.81 70.69
Each line ends with the local moment (μB).
Sites, in units of the cell vectors:
U 0.634 0.714 0.807  0.60
U 0.651 0.714 0.193  0.60
U 0.692 0.214 0.693  0.60
U 0.094 0.214 0.307  0.60
U 0.616 0.103 0.202  1.13
U 0.281 0.103 0.798  1.13
U 0.068 0.603 0.298  1.13
U 0.329 0.603 0.702  1.13
U 0.024 0.953 0.500  0.38
U 0.774 0.453 0.000  0.38
P 0.029 0.416 0.625  -0.02
P 0.555 0.416 0.375  -0.02
P 0.904 0.916 0.875  -0.02
P 0.180 0.916 0.125  -0.02
P 0.568 0.864 0.500  -0.02
P 0.318 0.364 0.000  -0.02

**Energy of formation**: -3.824 eV/f.u.
**Calculated volume**: 159.6 Å³/f.u.
**SG**: Fdd2 (43)
**DOS at the Fermi energy**: 17.63 states/eV/f.u.
**Magnetic moment**: 3.998 μB per formula unit


Record 3
VASP calculation (PBE) on a geometry-optimized KAsPd2 structure.

abc: 4.324 7.188 6.310
angles: 90.00 90.00 90.00
Sites, in units of the cell vectors:
K 0.000 0.000 0.387
K 0.500 0.500 0.613
As 0.000 0.500 0.089
As 0.500 0.000 0.911
Pd 0.000 0.189 0.892
Pd 0.000 0.811 0.892
Pd 0.500 0.311 0.108
Pd 0.500 0.689 0.108

**Energy of formation**: -1.668 eV/f.u.
**Calculated volume**: 98.1 Å³/f.u.
**SG**: Pmmn (59)
**DOS at the Fermi energy**: 1.08 states/eV/f.u.
**Magnetic moment**: 0.000 μB per formula unit